A relaxed CoH8C6N6O2 crystal. Source: the Alexandria database, functional PBE with a Hubbard U.

Output
**Density of states at the Fermi level**: 0.000 states/eV/cell
**Uncorrected energy**: -6.514 eV per atom

Lattice parameters (Å, degrees): 6.707 7.295 7.303 61.28 64.38 64.37
Space group P-1 (No. 2)
Inequivalent atoms, fractional coordinates:
Co: 0.000 0.000 0.000
H: 0.271 0.749 0.750
H: 0.378 0.392 0.153
H: 0.381 0.147 0.390
H: 0.453 0.136 0.128
C: 0.176 0.738 0.431
C: 0.177 0.431 0.737
C: 0.465 0.217 0.215
N: 0.146 0.854 0.260
N: 0.148 0.259 0.853
N: 0.216 0.621 0.621
O: 0.294 0.820 0.823